[1]
# CsCa PBE relaxed
# DFT formation energy: 279.4 meV per atom
# Volume: 62.7 Å³ per atom
data_CsCa
_chemical_formula_sum 'Cs2 Ca2'
_cell_length_a 4.5536
_cell_length_b 7.1679
_cell_length_c 7.6879
_cell_angle_alpha 90.00
_cell_angle_beta 90.00
_cell_angle_gamma 90.00
_symmetry_space_group_name_H-M 'C m m m'
_symmetry_Int_Tables_number 65
_symmetry_space_group_name_Hall '-C 2 2'
loop_
_atom_site_label
_atom_site_type_symbol
_atom_site_fract_x
_atom_site_fract_y
_atom_site_fract_z
_atom_site_occupancy
Cs1 Cs 0.0000 0.0000 0.0000 1
Ca1 Ca 0.0000 0.5000 0.5000 1

---

[2]
# CdPd2O PBE relaxed
# ΔE_f (raw): -0.286 eV per formula unit
# E above lowest polymorph: 0 meV per atom
# Volume: 19.5 Å³ per atom
data_CdPd2O
_chemical_formula_sum 'Cd4 Pd8 O4'
_cell_length_a 5.0268
_cell_length_b 5.0268
_cell_length_c 12.3666
_cell_angle_alpha 90.00
_cell_angle_beta 90.00
_cell_angle_gamma 90.00
_symmetry_space_group_name_H-M 'I -4 2 d'
_symmetry_Int_Tables_number 122
_symmetry_space_group_name_Hall 'I -4 2bw'
loop_
_atom_site_label
_atom_site_type_symbol
_atom_site_fract_x
_atom_site_fract_y
_atom_site_fract_z
_atom_site_occupancy
Cd1 Cd 0.0000 0.0000 0.0000 1
Pd1 Pd 0.0772 0.2500 0.6250 1
O1 O 0.0000 0.0000 0.5000 1

---

[3]
# BaTiF2 PBE relaxed
# ΔE_f (raw): -5.898 eV per formula unit
# E above lowest polymorph: 720 meV per atom
# Volume: 20.0 Å³ per atom
data_BaTiF2
_chemical_formula_sum 'Ba4 Ti4 F8'
_cell_length_a 6.8391
_cell_length_b 6.8391
_cell_length_c 6.8391
_cell_angle_alpha 90.00
_cell_angle_beta 90.00
_cell_angle_gamma 90.00
_symmetry_space_group_name_H-M 'F m -3 m'
_symmetry_Int_Tables_number 225
_symmetry_space_group_name_Hall '-F 4 2 3'
loop_
_atom_site_label
_atom_site_type_symbol
_atom_site_fract_x
_atom_site_fract_y
_atom_site_fract_z
_atom_site_occupancy
Ba1 Ba 0.0000 0.0000 0.0000 1
Ti1 Ti 0.0000 0.0000 0.5000 1
F1 F 0.2500 0.2500 0.2500 1

---

The highest volume belongs to which entry?
CsCa

---

volume of number 3 (BaTiF2)?
20.0 Å³ per atom

---

Among the records above, which one has the lowest volume?
CdPd2O